Entry 1:
Ce3Tl3VS8 | PBE-GGA | relaxed

The structure belongs to space group R-3m (No. 166, hexagonal axes); the cell edges are 7.9682, 7.9682 and 22.7731 Å and the angles 90.00°, 90.00° and 120.00°. The asymmetric unit holds Ce at (0.0000, 0.5000, 0.0000), Tl at (0.0000, 0.5000, 0.5000), V at (0.0000, 0.0000, 0.0000), S at (0.0000, 0.0000, 0.2647) and S at (0.0265, 0.5132, 0.7288).

Entry 2:
Tc2PIrSe | PBE-GGA | relaxed

The structure belongs to space group P4/mmm (No. 123); the cell edges are 4.458, 4.458 and 4.357 Å and the angles 90.00°, 90.00° and 90.00°. The asymmetric unit holds Tc at (0.000, 0.500, 0.000), P at (0.000, 0.000, 0.000), Ir at (0.000, 0.000, 0.500) and Se at (0.500, 0.500, 0.500).

Raw total energy? In order: -5.75; -6.99 eV/atom.
Calculated volume? In order: 27.826; 17.316 Å³ per atom.